Density functional theory data (PBE) for an optimized crystal structure of LaSmThN3.

Unit cell a=6.2597 b=3.6394 c=9.4081 alpha=90.00 beta=101.58 gamma=90.00
Last column: nearest neighbours and their distance in Å.
Space group P2_1/m (No. 11)
One atom of each set of equivalent atoms:
1 La 0.1534 0.2500 0.1898  7 N 2.71-2.87
2 Sm 0.3532 0.2500 0.8626  5 N 2.39-2.54
3 Th 0.2652 0.7500 0.5458  6 N 2.39-2.61
4 N 0.0442 0.2500 0.6544  3 Th 2.42-2.61, 1 Sm 2.46
5 N 0.2528 0.7500 0.0001  3 Sm 2.39-2.54
6 N 0.4628 0.7500 0.3535  3 Th 2.39-2.54, 1 Sm 2.53

ΔE_f (raw)	-1.37	eV per atom
Fermi-level density of states	0.542	states/eV per atom
crystal system	monoclinic
magnetization	0.00	μB/f.u.

=====

Density functional theory data (PBE) for an optimized crystal structure of Tm2B6Os.

Unit cell a=9.0752 b=11.4455 c=3.6198 alpha=90.00 beta=90.00 gamma=90.00
Last column: nearest neighbours and their distance in Å.
Space group Pbam (No. 55)
One atom of each set of equivalent atoms:
1 Tm 0.0563 0.1265 0.0000  12 B 2.57-2.60, 2 Os 2.84-2.85
2 Tm 0.1794 0.4137 0.0000  14 B 2.70-2.79
3 B 0.0184 0.2869 0.5000  3 B 1.79-1.84
4 B 0.0531 0.5665 0.5000  3 B 1.78-1.80
5 B 0.1081 0.9700 0.5000  2 B 1.79-1.81
6 B 0.1309 0.8151 0.5000  3 B 1.73-1.79
7 B 0.2091 0.2334 0.5000  3 B 1.73-1.84
8 B 0.2483 0.5794 0.5000  3 B 1.78-1.81
9 Os 0.1371 0.6787 0.0000  10 B 2.33-2.39

Fermi-level density of states	0.088	states/eV per atom
crystal system	orthorhombic
magnetization	0.00	μB/f.u.
energy of formation	-6.35	eV per formula unit

=====

Density functional theory data (PBE) for an optimized crystal structure of ReMo4W.

Unit cell a=7.2946 b=7.2946 c=7.2946 alpha=90.00 beta=90.00 gamma=90.00
Last column: nearest neighbours and their distance in Å.
Space group F-43m (No. 216)
One atom of each set of equivalent atoms:
1 Re 0.0000 0.0000 0.0000  12 Mo 3.03, 4 W 3.16
2 Mo 0.1246 0.1246 0.3754  6 Mo 2.57-2.59
3 W 0.2500 0.2500 0.7500  12 Mo 3.02, 4 Re 3.16

Fermi-level density of states	1.068	states/eV per atom
crystal system	cubic
magnetization	0.00	μB/f.u.
excess energy over the best structure of this formula in the dataset	373.1	meV/atom
energy of formation	2.34	eV per formula unit

=====

What is the formula in the third record?
ReMo4W

=====

The highest Fermi-level density of states belongs to which entry?
ReMo4W